(1)
The following is a PBE calculation of a geometry-optimized Na2Cr3Te6 structure, from the Alexandria database.

Summary:
Space group = No. 12
ρ = 5170 kg/m3
DOS(E_F) = 2.449 states/eV/f.u.
M_tot = 8.4 μB/f.u.
Formation energy (no corrections) = -0.43 eV/atom
Uncorrected energy = -5.0046 eV/atom

a = 6.809 Å, b = 6.809 Å, c = 8.069 Å
α = 98.11°, β = 98.11°, γ = 120.01°
Positions (direct):
Na1 0.166 0.834 0.000
Na2 0.834 0.166 0.000
Cr1 0.000 0.000 0.500
Cr2 0.333 0.667 0.500
Cr3 0.667 0.333 0.500
Te1 0.067 0.400 0.698
Te2 0.267 0.267 0.301
Te3 0.400 0.067 0.698
Te4 0.600 0.933 0.302
Te5 0.733 0.733 0.699
Te6 0.933 0.600 0.302

***

(2)
The following is a PBE calculation of a geometry-optimized NaCrTe3 structure, from the Alexandria database.

Summary:
Space group = No. 221
ρ = 4791 kg/m3
DOS(E_F) = 7.382 states/eV/f.u.
M_tot = 4.0 μB/f.u.
Energy above the most stable polymorph in this dataset = 97.53 kJ/mol of atoms
Formation energy (no corrections) = 0.82 eV/atom
Uncorrected energy = -3.2514 eV/atom

a = 5.414 Å, b = 5.414 Å, c = 5.414 Å
α = 90.00°, β = 90.00°, γ = 90.00°
Positions (direct):
Na1 0.000 0.000 0.000
Cr1 0.500 0.500 0.500
Te1 0.000 0.000 0.500
Te2 0.000 0.500 0.000
Te3 0.500 0.000 0.000

***

(3)
The following is a PBE calculation of a geometry-optimized NaCr2Te structure, from the Alexandria database.

Summary:
Space group = No. 122
ρ = 4819 kg/m3
DOS(E_F) = 3.687 states/eV/f.u.
M_tot = 4.0 μB/f.u.
Formation energy (no corrections) = 0.78 eV/atom
Uncorrected energy = -5.1501 eV/atom

a = 10.132 Å, b = 10.132 Å, c = 10.132 Å
α = 155.74°, β = 155.74°, γ = 34.58°
Positions (direct):
Na1 0.000 0.000 0.000
Na2 0.750 0.250 0.500
Cr1 0.274 0.625 0.149
Cr2 0.375 0.524 0.649
Cr3 0.476 0.125 0.851
Cr4 0.875 0.726 0.351
Te1 0.250 0.750 0.500
Te2 0.500 0.500 0.000

***

Question: Which formula does entry 2 have?
Answer: NaCrTe3